No. 1
Ho2Th2In | PBE-GGA | optimized geometry

Unit cell a=4.486 b=4.486 c=16.644 alpha=90.00 beta=90.00 gamma=90.00
Space group I4/mmm (No. 139)
One atom of each set of equivalent atoms:
Ho1 0.000 0.000 0.091 (multiplicity 4)
Th1 0.000 0.500 0.250 (multiplicity 4)
In1 0.000 0.000 0.500 (multiplicity 2)

## Properties
As for the crystal system: tetragonal.


No. 2
HoTh3In4 | PBE-GGA | optimized geometry

Unit cell a=3.325 b=5.859 c=11.699 alpha=90.00 beta=90.00 gamma=90.00
Space group Pmmm (No. 47)
One atom of each set of equivalent atoms:
Ho1 0.000 0.000 0.000 (multiplicity 1)
Th1 0.000 0.000 0.500 (multiplicity 1)
Th2 0.000 0.500 0.249 (multiplicity 2)
In1 0.500 0.000 0.243 (multiplicity 2)
In2 0.500 0.500 0.000 (multiplicity 1)
In3 0.500 0.500 0.500 (multiplicity 1)

## Properties
As for the crystal system: orthorhombic. For the energy above the most stable polymorph in this dataset, the calculation gives 0 meV per atom.


No. 3
Ho2ThIn | PBE-GGA | optimized geometry

Unit cell a=4.905 b=4.905 c=4.794 alpha=90.00 beta=90.00 gamma=90.00
Space group P4/mmm (No. 123)
One atom of each set of equivalent atoms:
Ho1 0.000 0.500 0.000 (multiplicity 2)
Th1 0.000 0.000 0.500 (multiplicity 1)
In1 0.500 0.500 0.500 (multiplicity 1)

## Properties
As for the crystal system: tetragonal. For the energy above the most stable polymorph in this dataset, the calculation gives 40 meV per atom.


No. 4
Ho3ThIn3 | PBE-GGA | optimized geometry

Unit cell a=9.0415 b=9.0415 c=5.5549 alpha=90.00 beta=90.00 gamma=120.00
Space group P6_3/m (No. 176)
One atom of each set of equivalent atoms:
Ho1 0.0942 0.6405 0.2500 (multiplicity 6)
Th1 0.3333 0.6667 0.7500 (multiplicity 2)
In1 0.0435 0.8123 0.7500 (multiplicity 6)

## Properties
As for the crystal system: hexagonal.


No. 5
Ho2ThIn9 | PBE-GGA | optimized geometry

Unit cell a=4.667 b=4.667 c=14.020 alpha=90.00 beta=90.00 gamma=90.00
Space group P4/mmm (No. 123)
One atom of each set of equivalent atoms:
Ho1 0.000 0.000 0.164 (multiplicity 2)
Th1 0.000 0.000 0.500 (multiplicity 1)
In1 0.000 0.500 0.000 (multiplicity 2)
In2 0.000 0.500 0.327 (multiplicity 4)
In3 0.500 0.500 0.164 (multiplicity 2)
In4 0.500 0.500 0.500 (multiplicity 1)

## Properties
As for the crystal system: tetragonal.


No. 6
Ho3ThIn2 | PBE-GGA | optimized geometry

Unit cell a=3.594 b=3.594 c=12.960 alpha=90.00 beta=90.00 gamma=90.00
Space group P4/mmm (No. 123)
One atom of each set of equivalent atoms:
Ho1 0.000 0.000 0.000 (multiplicity 1)
Ho2 0.000 0.000 0.316 (multiplicity 2)
Th1 0.500 0.500 0.500 (multiplicity 1)
In1 0.500 0.500 0.159 (multiplicity 2)

## Properties
As for the crystal system: tetragonal.


No. 7
HoTh2In | PBE-GGA | optimized geometry

Unit cell a=4.828 b=4.828 c=5.061 alpha=90.00 beta=90.00 gamma=90.00
Space group P4/mmm (No. 123)
One atom of each set of equivalent atoms:
Ho1 0.000 0.000 0.000 (multiplicity 1)
Th1 0.000 0.500 0.500 (multiplicity 2)
In1 0.500 0.500 0.000 (multiplicity 1)

## Properties
As for the crystal system: tetragonal. For the energy above the most stable polymorph in this dataset, the calculation gives 0 meV per atom.


No. 8
HoTh2In9 | PBE-GGA | optimized geometry

Unit cell a=4.709 b=4.709 c=14.076 alpha=90.00 beta=90.00 gamma=90.00
Space group P4/mmm (No. 123)
One atom of each set of equivalent atoms:
Ho1 0.000 0.000 0.000 (multiplicity 1)
Th1 0.000 0.000 0.330 (multiplicity 2)
In1 0.000 0.500 0.161 (multiplicity 4)
In2 0.000 0.500 0.500 (multiplicity 2)
In3 0.500 0.500 0.000 (multiplicity 1)
In4 0.500 0.500 0.332 (multiplicity 2)

## Properties
As for the crystal system: tetragonal.


| no. | magnetic moment (μB/f.u.) | energy relative to the elements (eV/f.u.) |
| --- | --- | --- |
| 1 | 0.00 | 2.2 |
| 2 | 0.38 | -2.1 |
| 3 | 0.00 | -0.8 |
| 4 | 0.00 | -1.1 |
| 5 | 0.00 | -4.6 |
| 6 | 0.11 | -1.9 |
| 7 | 0.00 | -0.8 |
| 8 | 0.00 | -4.4 |